Record 1
Li3TlAu | GGA-PBE | optimized geometry

```
data_Li3TlAu
_chemical_formula_sum 'Li3 Tl1 Au1'
_space_group_name_H-M_alt 'P m -3 m'
_space_group_IT_number 221
_space_group_name_Hall '-P 4 2 3'
_cell_length_a 4.8763
_cell_length_b 4.8763
_cell_length_c 4.8763
_cell_angle_alpha 90.00
_cell_angle_beta 90.00
_cell_angle_gamma 90.00
loop_
_atom_site_label
_atom_site_fract_x
_atom_site_fract_y
_atom_site_fract_z
Li1 0.0000 0.0000 0.5000
Tl1 0.5000 0.5000 0.5000
Au1 0.0000 0.0000 0.0000
```

Calculated values
Calculated formation energy, kJ per mole of atoms: -17.46
Total magnetic moment, Bohr magnetons per cell: 0.00
ρ, kg/m³: 6046
Offset from the most stable computed form, eV/atom: 0.159

---

Record 2
InRe3Rh | GGA-PBE | optimized geometry

```
data_InRe3Rh
_chemical_formula_sum 'In1 Re3 Rh1'
_space_group_name_H-M_alt 'P m -3 m'
_space_group_IT_number 221
_space_group_name_Hall '-P 4 2 3'
_cell_length_a 4.6982
_cell_length_b 4.6982
_cell_length_c 4.6982
_cell_angle_alpha 90.00
_cell_angle_beta 90.00
_cell_angle_gamma 90.00
loop_
_atom_site_label
_atom_site_fract_x
_atom_site_fract_y
_atom_site_fract_z
In1 0.0000 0.0000 0.0000
Re1 0.0000 0.5000 0.5000
Rh1 0.5000 0.5000 0.5000
```

Calculated values
Calculated formation energy, kJ per mole of atoms: 204.62
Total magnetic moment, Bohr magnetons per cell: 0.07
ρ, kg/m³: 12431
Offset from the most stable computed form, eV/atom: 0.000

---

Record 3
CsZrIn3 | GGA-PBE | optimized geometry

```
data_CsZrIn3
_chemical_formula_sum 'Cs1 Zr1 In3'
_space_group_name_H-M_alt 'P m -3 m'
_space_group_IT_number 221
_space_group_name_Hall '-P 4 2 3'
_cell_length_a 6.0328
_cell_length_b 6.0328
_cell_length_c 6.0328
_cell_angle_alpha 90.00
_cell_angle_beta 90.00
_cell_angle_gamma 90.00
loop_
_atom_site_label
_atom_site_fract_x
_atom_site_fract_y
_atom_site_fract_z
Cs1 0.0000 0.0000 0.0000
Zr1 0.5000 0.5000 0.5000
In1 0.0000 0.0000 0.5000
```

Calculated values
Calculated formation energy, kJ per mole of atoms: 155.17
Total magnetic moment, Bohr magnetons per cell: 1.87
ρ, kg/m³: 4300
Offset from the most stable computed form, eV/atom: 1.392

---

Record 4
Pm4NdIr3 | GGA-PBE | optimized geometry

```
data_Pm4NdIr3
_chemical_formula_sum 'Pm16 Nd4 Ir12'
_space_group_name_H-M_alt 'I 4/m c m'
_space_group_IT_number 140
_space_group_name_Hall '-I 4 2c'
_cell_length_a 11.3502
_cell_length_b 11.3502
_cell_length_c 6.2059
_cell_angle_alpha 90.00
_cell_angle_beta 90.00
_cell_angle_gamma 90.00
loop_
_atom_site_label
_atom_site_fract_x
_atom_site_fract_y
_atom_site_fract_z
Pm1 0.0843 0.2086 0.0000
Nd1 0.0000 0.5000 0.2500
Ir1 0.0000 0.0000 0.2500
Ir2 0.1566 0.3434 0.5000
```

Calculated values
Calculated formation energy, kJ per mole of atoms: -54.41
Total magnetic moment, Bohr magnetons per cell: 0.00
ρ, kg/m³: 10808

---

Repeat the first record exactly.
Li3TlAu | GGA-PBE | optimized geometry

```
data_Li3TlAu
_chemical_formula_sum 'Li3 Tl1 Au1'
_space_group_name_H-M_alt 'P m -3 m'
_space_group_IT_number 221
_space_group_name_Hall '-P 4 2 3'
_cell_length_a 4.8763
_cell_length_b 4.8763
_cell_length_c 4.8763
_cell_angle_alpha 90.00
_cell_angle_beta 90.00
_cell_angle_gamma 90.00
loop_
_atom_site_label
_atom_site_fract_x
_atom_site_fract_y
_atom_site_fract_z
Li1 0.0000 0.0000 0.5000
Tl1 0.5000 0.5000 0.5000
Au1 0.0000 0.0000 0.0000
```

Calculated values
Calculated formation energy, kJ per mole of atoms: -17.46
Total magnetic moment, Bohr magnetons per cell: 0.00
ρ, kg/m³: 6046
Offset from the most stable computed form, eV/atom: 0.159

---

Which of these has the lowest calculated formation energy?
Pm4NdIr3